DFT (PBE) results for Li4CePm3Se8 after structural relaxation.

**DOS at the Fermi energy**: 6.2 states/eV/f.u.
**Space group**: R-3m
**Raw total energy**: -5.136 eV per atom
**Volume**: 24.73 Å³ per atom

CIF file:
```
data_Li4CePm3Se8
_chemical_formula_sum 'Li4 Ce1 Pm3 Se8'
_space_group_name_H-M_alt 'P 1'
_space_group_IT_number 1
_cell_length_a 8.3734
_cell_length_b 8.1145
_cell_length_c 8.3733
_cell_angle_alpha 121.07
_cell_angle_beta 120.00
_cell_angle_gamma 90.00
loop_
_space_group_symop_operation_xyz
'x,y,z'
loop_
_atom_site_label
_atom_site_type_symbol
_atom_site_fract_x
_atom_site_fract_y
_atom_site_fract_z
Li1 Li 0.5000 0.0000 0.0000
Li2 Li 0.5000 0.0000 0.5000
Li3 Li 0.0000 0.0000 0.0000
Li4 Li 0.0000 0.0000 0.5000
Ce1 Ce 0.0000 0.5000 0.0000
Pm1 Pm 0.5000 0.5000 0.0000
Pm2 Pm 0.5000 0.5000 0.5000
Pm3 Pm 0.0000 0.5000 0.5000
Se1 Se 0.2535 0.7587 0.0054
Se2 Se 0.2535 0.7587 0.5069
Se3 Se 0.2470 0.2413 0.4941
Se4 Se 0.7520 0.7587 0.0054
Se5 Se 0.2480 0.2413 0.9946
Se6 Se 0.7530 0.7587 0.5059
Se7 Se 0.7465 0.2413 0.4931
Se8 Se 0.7465 0.2413 0.9946
```